## i
VASP calculation (GGA-PBEsol) on an optimized crystal structure of Be2AlIn.

It has space group Fm-3m (No. 225), with a = 6.156 Å, b = 6.156 Å, c = 6.156 Å, α = 90.00°, β = 90.00° and γ = 90.00°. The asymmetric unit holds Be at (0.250, 0.250, 0.250), Al at (0.000, 0.000, 0.000) and In at (0.000, 0.000, 0.500).

The crystal system is cubic. For the density of states at the Fermi level, the calculation gives 6.54 states/eV per cell.

## ii
VASP calculation (GGA-PBEsol) on an optimized crystal structure of Be2AlIn.

It has space group P4mm (No. 99), with a = 2.786 Å, b = 2.786 Å, c = 7.555 Å, α = 90.00°, β = 90.00° and γ = 90.00°. The asymmetric unit holds Be at (0.000, 0.000, 0.000), Be at (0.500, 0.500, 0.157), Al at (0.500, 0.500, 0.776) and In at (0.000, 0.000, 0.432).

The crystal system is tetragonal. For the density of states at the Fermi level, the calculation gives 1.25 states/eV per cell.

## iii
VASP calculation (GGA-PBEsol) on an optimized crystal structure of Be2AlIn.

It has space group I4/mmm (No. 139), with a = 3.931 Å, b = 3.931 Å, c = 7.500 Å, α = 90.00°, β = 90.00° and γ = 90.00°. The asymmetric unit holds Be at (0.000, 0.500, 0.250), Al at (0.000, 0.000, 0.000) and In at (0.000, 0.000, 0.500).

The crystal system is tetragonal. For the density of states at the Fermi level, the calculation gives 2.32 states/eV per cell.

## iv
VASP calculation (GGA-PBEsol) on an optimized crystal structure of Be2AlIn.

It has space group Cmmm (No. 65), with a = 5.506 Å, b = 7.399 Å, c = 2.844 Å, α = 90.00°, β = 90.00° and γ = 90.00°. The asymmetric unit holds Be at (0.250, 0.250, 0.000), Al at (0.000, 0.000, 0.500) and In at (0.000, 0.500, 0.500).

The crystal system is orthorhombic. For the density of states at the Fermi level, the calculation gives 2.92 states/eV per cell.

Result of the stability comparison: ii is the most stable of them.

## i
VASP calculation (GGA-PBEsol) on an optimized crystal structure of BeAl2In.

It has space group P4/mmm (No. 123), with a = 2.915 Å, b = 2.915 Å, c = 7.774 Å, α = 90.00°, β = 90.00° and γ = 90.00°. The asymmetric unit holds Be at (0.000, 0.000, 0.000), Al at (0.500, 0.500, 0.193) and In at (0.000, 0.000, 0.500).

The crystal system is tetragonal. For the density of states at the Fermi level, the calculation gives 1.19 states/eV per cell.

## ii
VASP calculation (GGA-PBEsol) on an optimized crystal structure of BeAl2In.

It has space group P2/m (No. 10), with a = 3.985 Å, b = 4.025 Å, c = 4.764 Å, α = 90.00°, β = 108.54° and γ = 90.00°. The asymmetric unit holds Be at (0.000, 0.000, 0.000), Al at (0.155, 0.500, 0.793) and In at (0.500, 0.000, 0.500).

The crystal system is monoclinic. For the density of states at the Fermi level, the calculation gives 1.39 states/eV per cell.

Result of the stability comparison: i is the most stable of them.

## i
VASP calculation (GGA-PBEsol) on an optimized crystal structure of BeAlIr2.

It has space group R-3m (No. 166, hexagonal axes), with a = 2.7881 Å, b = 2.7881 Å, c = 22.6025 Å, α = 90.00°, β = 90.00° and γ = 120.00°. The asymmetric unit holds Be at (0.0000, 0.0000, 0.0000), Al at (0.0000, 0.0000, 0.5000) and Ir at (0.0000, 0.0000, 0.2555).

The crystal system is trigonal. For the density of states at the Fermi level, the calculation gives 5.40 states/eV per cell.

## ii
VASP calculation (GGA-PBEsol) on an optimized crystal structure of BeAlIr2.

It has space group Fm-3m (No. 225), with a = 5.795 Å, b = 5.795 Å, c = 5.795 Å, α = 90.00°, β = 90.00° and γ = 90.00°. The asymmetric unit holds Be at (0.000, 0.000, 0.000), Al at (0.000, 0.000, 0.500) and Ir at (0.250, 0.250, 0.250).

The crystal system is cubic. For the density of states at the Fermi level, the calculation gives 5.72 states/eV per cell.

## iii
VASP calculation (GGA-PBEsol) on an optimized crystal structure of BeAlIr2.

It has space group P4/mmm (No. 123), with a = 2.885 Å, b = 2.885 Å, c = 5.797 Å, α = 90.00°, β = 90.00° and γ = 90.00°. The asymmetric unit holds Be at (0.000, 0.000, 0.000), Al at (0.000, 0.000, 0.500) and Ir at (0.500, 0.500, 0.235).

The crystal system is tetragonal. For the density of states at the Fermi level, the calculation gives 1.65 states/eV per cell.

## iv
VASP calculation (GGA-PBEsol) on an optimized crystal structure of BeAlIr2.

It has space group C2/m (No. 12), with a = 8.046 Å, b = 2.815 Å, c = 4.710 Å, α = 90.00°, β = 107.11° and γ = 90.00°. The asymmetric unit holds Be at (0.000, 0.000, 0.000), Al at (0.000, 0.500, 0.500) and Ir at (0.233, 0.500, 0.229).

The crystal system is monoclinic. For the density of states at the Fermi level, the calculation gives 3.25 states/eV per cell.

Result of the stability comparison: iii is the most stable of them.

## i
VASP calculation (GGA-PBEsol) on an optimized crystal structure of MgBeAl2.

It has space group P4/mmm (No. 123), with a = 3.931 Å, b = 3.931 Å, c = 4.033 Å, α = 90.00°, β = 90.00° and γ = 90.00°. The asymmetric unit holds Mg at (0.000, 0.000, 0.000), Be at (0.500, 0.500, 0.000) and Al at (0.000, 0.500, 0.500).

The crystal system is tetragonal. For the density of states at the Fermi level, the calculation gives 1.19 states/eV per cell.

## ii
VASP calculation (GGA-PBEsol) on an optimized crystal structure of MgBeAl2.

It has space group F-43m (No. 216), with a = 6.306 Å, b = 6.306 Å, c = 6.306 Å, α = 90.00°, β = 90.00° and γ = 90.00°. The asymmetric unit holds Mg at (0.000, 0.000, 0.000), Be at (0.250, 0.250, 0.750), Al at (0.000, 0.000, 0.500) and Al at (0.250, 0.250, 0.250).

The crystal system is cubic. For the density of states at the Fermi level, the calculation gives 6.21 states/eV per cell.

## iii
VASP calculation (GGA-PBEsol) on an optimized crystal structure of MgBeAl2.

It has space group Cm (No. 8), with a = 9.052 Å, b = 2.867 Å, c = 4.984 Å, α = 90.00°, β = 101.78° and γ = 90.00°. The asymmetric unit holds Mg at (0.000, 0.000, 0.000), Be at (0.247, 0.500, 0.255), Al at (0.235, 0.000, 0.713) and Al at (0.478, 0.000, 0.476).

The crystal system is monoclinic. For the density of states at the Fermi level, the calculation gives 2.88 states/eV per cell.

Result of the stability comparison: i is the most stable of them.

## i
VASP calculation (GGA-PBEsol) on an optimized crystal structure of BeAlTeN2.

It has space group P4/mmm (No. 123), with a = 3.636 Å, b = 3.636 Å, c = 5.943 Å, α = 90.00°, β = 90.00° and γ = 90.00°. The asymmetric unit holds Be at (0.000, 0.000, 0.000), Al at (0.500, 0.500, 0.500), Te at (0.500, 0.500, 0.000) and N at (0.000, 0.500, 0.500).

The crystal system is tetragonal. For the density of states at the Fermi level, the calculation gives 3.28 states/eV per cell.

## ii
VASP calculation (GGA-PBEsol) on an optimized crystal structure of BeAlTeN2.

It has space group P4/mmm (No. 123), with a = 3.630 Å, b = 3.630 Å, c = 5.255 Å, α = 90.00°, β = 90.00° and γ = 90.00°. The asymmetric unit holds Be at (0.000, 0.000, 0.000), Al at (0.500, 0.500, 0.500), Te at (0.000, 0.000, 0.500) and N at (0.000, 0.500, 0.000).

The crystal system is tetragonal. For the density of states at the Fermi level, the calculation gives 3.62 states/eV per cell.

Result of the stability comparison: i is the most stable of them.

## i
VASP calculation (GGA-PBEsol) on an optimized crystal structure of BeAlP.

It has space group Fmm2 (No. 42), with a = 3.536 Å, b = 4.373 Å, c = 10.214 Å, α = 90.00°, β = 90.00° and γ = 90.00°. The asymmetric unit holds Be at (0.000, 0.000, 0.000), Al at (0.000, 0.000, 0.672) and P at (0.000, 0.000, 0.371).

The crystal system is orthorhombic. For the density of states at the Fermi level, the calculation gives 3.47 states/eV per cell.

## ii
VASP calculation (GGA-PBEsol) on an optimized crystal structure of BeAlP.

It has space group F-43m (No. 216), with a = 5.641 Å, b = 5.641 Å, c = 5.641 Å, α = 90.00°, β = 90.00° and γ = 90.00°. The asymmetric unit holds Be at (0.000, 0.000, 0.000), Al at (0.000, 0.000, 0.500) and P at (0.250, 0.250, 0.250).

The crystal system is cubic. For the density of states at the Fermi level, the calculation gives 5.19 states/eV per cell.

Result of the stability comparison: i is the most stable of them.